Li2LaZr: relaxed, PBEsol.

Lattice parameters (Å, degrees): 3.1380 5.4929 6.2728 114.65 102.34 94.77
Atoms (fractional coordinates):
1 La 0.0000 0.5000 0.0000
2 Li 0.0000 0.0000 0.5000
3 Li 0.5000 0.5000 0.5000
4 Zr 0.5000 0.0000 0.0000

Values from the calculation:
Magnetic moment   0.00 Bohr magnetons per cell
Energy above the lowest structure with this stoichiometry   0.0000 eV per atom
Space group   No. 12
Energy of formation from the pure elements   0.28 eV per atom
Crystal system   monoclinic